This record from the Alexandria database describes a geometry-optimized PmDy3Ge3 structure. The functional is PBE.

Properties
space-group type: No. 176
DFT total energy: -5.21 eV per atom
ΔE_f: -577 meV per atom
total magnetic moment: 0.00 μB/cell

Cell: 5.6809 8.9646 8.9646 Å, 120.00 90.00 90.00°
Element x y z (fractional)
Dy  0.7500  0.3198  0.0213
Dy  0.2500  0.6802  0.9787
Ge  0.2500  0.3487  0.9893
Dy  0.7500  0.7015  0.6802
Ge  0.7500  0.6513  0.0107
Dy  0.2500  0.2985  0.3198
Dy  0.2500  0.0213  0.7015
Ge  0.2500  0.0107  0.3594
Ge  0.7500  0.3594  0.3487
Pm  0.7500  0.3333  0.6667
Ge  0.7500  0.9893  0.6406
Pm  0.2500  0.6667  0.3333
Dy  0.7500  0.9787  0.2985
Ge  0.2500  0.6406  0.6513